Entry 1:
Material: GdThZnPt
Method: DFT, PBE
State: relaxed

Cell: 7.223 7.223 7.223 Å, 90.00 90.00 90.00°
Space group F-43m (No. 216)
Asymmetric unit:
Gd: 0.000 0.000 0.000
Th: 0.000 0.000 0.500
Zn: 0.250 0.250 0.750
Pt: 0.250 0.250 0.250

Calculated values
**Electronic total energy**: -7.85 eV/atom
**Energy of formation from the pure elements**: -0.649 eV/atom
**V**: 376.8 Å³ per cell

=====

Entry 2:
Material: Sm15Ho2Tm2
Method: DFT, PBE
State: relaxed

Cell: 11.1837 11.1837 18.0342 Å, 90.00 90.00 120.00°
Space group R-3m (No. 166, hexagonal axes)
Asymmetric unit:
Sm: 0.0000 0.2959 0.0000
Sm: 0.0000 0.5000 0.5000
Sm: 0.0211 0.5105 0.1324
Ho: 0.0000 0.0000 0.3151
Tm: 0.0000 0.0000 0.0932

Calculated values
**Electronic total energy**: -4.40 eV/atom
**Energy of formation from the pure elements**: 0.277 eV/atom
**V**: 1953.4 Å³ per cell

=====

Entry 3:
Material: TmAgSnBr6
Method: DFT, PBE
State: relaxed

Cell: 7.1812 7.1812 13.2100 Å, 90.00 90.00 120.00°
Space group P-31c (No. 163)
Asymmetric unit:
Tm: 0.3333 0.6667 0.2500
Ag: 0.3333 0.6667 0.7500
Sn: 0.0000 0.0000 0.0000
Br: 0.0122 0.3543 0.1284

Calculated values
**Electronic total energy**: -3.50 eV/atom
**V**: 590.0 Å³ per cell
**Raw formation energy**: -1.128 eV per atom

=====

Entry 4:
Material: NaGeAs3
Method: DFT, PBE
State: relaxed

Cell: 5.110 7.506 6.852 Å, 90.00 104.08 90.00°
Space group P2_1/m (No. 11)
Asymmetric unit:
Na: 0.020 0.250 0.017
Ge: 0.497 0.250 0.694
As: 0.150 0.003 0.674
As: 0.461 0.750 0.666

Calculated values
**Electronic total energy**: -4.15 eV/atom
**Energy of formation from the pure elements**: -0.170 eV/atom
**V**: 254.9 Å³ per cell

=====

Entry 5:
Material: Nb2CdSb
Method: DFT, PBE
State: relaxed

Cell: 6.793 6.793 6.793 Å, 90.00 90.00 90.00°
Space group Fm-3m (No. 225)
Asymmetric unit:
Nb: 0.250 0.250 0.250
Cd: 0.000 0.000 0.000
Sb: 0.000 0.000 0.500

Calculated values
**Electronic total energy**: -6.04 eV/atom
**V**: 313.4 Å³ per cell
**Raw formation energy**: 0.253 eV per atom

=====

Entry 6:
Material: Tl2AsBr
Method: DFT, PBE
State: relaxed

Cell: 4.022 4.022 8.579 Å, 90.00 90.00 90.00°
Space group P4mm (No. 99)
Asymmetric unit:
Tl: 0.000 0.000 0.000
Tl: 0.500 0.500 0.466
As: 0.000 0.000 0.400
Br: 0.500 0.500 0.827

Calculated values
**Electronic total energy**: -2.92 eV/atom
**V**: 138.8 Å³ per cell
**Raw formation energy**: -0.158 eV per atom

=====

no.,density (kg/m3)
1,11453
2,7455
3,4925
4,4175
5,8900
6,6743